12
Lattice="9.904 0.000 0.000 0.000 3.764 0.000 -0.054 0.000 9.550" Properties=species:S:1:pos:R:3 comment="AcThB, relaxed, DFT PBE" dft_energy_ev_per_atom=-5.894 dos_ef_per_ev_atom=1.1441 space_group=C2/m ef_mev_per_atom=174.8 pbc="T T T"
Ac 1.314 0.000 1.570
Ac 3.584 1.882 7.980
Ac 6.266 1.882 1.570
Ac 8.536 0.000 7.980
Th 1.224 0.000 5.619
Th 3.675 1.882 3.931
Th 6.176 1.882 5.619
Th 8.627 0.000 3.931
B 1.006 1.882 3.636
B 3.892 0.000 5.914
B 5.958 0.000 3.636
B 8.844 1.882 5.914